An optimized crystal structure of CaThMg. Source: Alexandria, functional PBE.

The space group is P3m1 (No. 156) and the conventional cell measures 3.5020, 3.5020 and 8.9770 Å, with angles of 90.00, 90.00 and 120.00 degrees. Symmetry generates all atoms from Ca at (0.0000, 0.0000, 0.0000), Th at (0.6667, 0.3333, 0.3628) and Mg at (0.3333, 0.6667, 0.6813).

The calculation puts the energy of formation from the pure elements at 0.13 eV/atom. For the energy above the most stable polymorph in this dataset, the calculation gives 16.9 meV per atom. The volume is 95 Å³ per cell. The value obtained for the total magnetization is 0.00 μB/f.u.